DFT (PBE) results for crystalline ThMgBiPb at its relaxed geometry.

Unit cell a=4.395 b=5.064 c=5.120 alpha=90.00 beta=90.00 gamma=90.00
Positions (direct):
Th: 0.000 0.500 0.500
Mg: 0.000 0.000 0.000
Bi: 0.500 0.000 0.500
Pb: 0.500 0.500 0.000

Total energy   -17.86 eV/cell
DOS(E_F)   0.707 states/eV per atom
Space group   Pmmm (47)
Energy relative to the lowest polymorph listed for this composition   0.0 meV/atom

=====

DFT (PBE) results for crystalline ThMgBiPb at its relaxed geometry.

Unit cell a=5.473 b=5.473 c=5.473 alpha=60.00 beta=60.00 gamma=60.00
Positions (direct):
Mg: 0.000 0.000 0.000
Bi: 0.250 0.250 0.250
Pb: 0.750 0.750 0.750
Th: 0.500 0.500 0.500

Total energy   -17.13 eV/cell
DOS(E_F)   0.733 states/eV per atom
Space group   F-43m (216)
Energy relative to the lowest polymorph listed for this composition   184.0 meV/atom

=====

DFT (PBE) results for crystalline Mg2TiBiPb at its relaxed geometry.

Unit cell a=5.307 b=6.350 c=5.307 alpha=90.00 beta=90.00 gamma=90.00
Last column: magnetic moment on the atom in μB.
Positions (direct):
Mg: 0.000 0.000 0.500  -0.01
Mg: 0.500 0.000 0.000  0.00
Ti: 0.500 0.500 0.500  1.87
Pb: 0.000 0.500 0.000  0.00
Bi: 0.000 0.000 0.000  0.02

Total energy   -14.05 eV/cell
DOS(E_F)   1.389 states/eV per atom
Space group   P4/mmm (123)

=====

DFT (PBE) results for crystalline MgTlBiPb at its relaxed geometry.

Unit cell a=5.521 b=5.521 c=5.521 alpha=60.00 beta=60.00 gamma=60.00
Positions (direct):
Tl: 0.000 0.000 0.000
Mg: 0.750 0.750 0.750
Pb: 0.250 0.250 0.250
Bi: 0.500 0.500 0.500

Total energy   -11.48 eV/cell
DOS(E_F)   0.787 states/eV per atom
Space group   F-43m (216)
Energy relative to the lowest polymorph listed for this composition   75.9 meV/atom

=====

DFT (PBE) results for crystalline MgTlBiPb at its relaxed geometry.

Unit cell a=3.512 b=3.512 c=9.513 alpha=90.03 beta=89.97 gamma=89.97
Positions (direct):
Pb: 0.146 0.854 0.693
Mg: 0.646 0.354 0.474
Bi: 0.146 0.854 0.254
Tl: 0.647 0.353 0.968

Total energy   -11.79 eV/cell
DOS(E_F)   0.487 states/eV per atom
Space group   P4mm (99)
Energy relative to the lowest polymorph listed for this composition   0.0 meV/atom

=====

DFT (PBE) results for crystalline MgTl2Bi2Pb at its relaxed geometry.

Unit cell a=5.088 b=7.710 c=9.853 alpha=90.00 beta=90.00 gamma=90.00
Positions (direct):
Tl: 0.500 0.532 0.928
Tl: 0.000 0.838 0.842
Tl: 0.500 0.032 0.072
Tl: 0.000 0.338 0.158
Pb: 0.000 0.486 0.529
Pb: 0.000 0.986 0.471
Mg: 0.500 0.658 0.327
Mg: 0.500 0.158 0.673
Bi: 0.500 0.262 0.373
Bi: 0.000 0.769 0.188
Bi: 0.000 0.269 0.812
Bi: 0.500 0.762 0.627

Total energy   -36.45 eV/cell
DOS(E_F)   0.327 states/eV per atom
Space group   Pmc2_1 (26)

=====

DFT (PBE) results for crystalline MgZnBiPb at its relaxed geometry.

Unit cell a=5.337 b=5.337 c=5.337 alpha=60.00 beta=60.00 gamma=60.00
Positions (direct):
Bi: 0.500 0.500 0.500
Mg: 0.250 0.250 0.250
Zn: 0.000 0.000 0.000
Pb: 0.750 0.750 0.750

Total energy   -10.09 eV/cell
DOS(E_F)   0.494 states/eV per atom
Space group   F-43m (216)

=====

DFT (PBE) results for crystalline Mg2BiPd at its relaxed geometry.

Unit cell a=4.180 b=4.463 c=4.463 alpha=90.00 beta=90.00 gamma=90.00
Positions (direct):
Pd: 0.500 0.000 0.000
Bi: 0.500 0.500 0.500
Mg: 0.000 0.000 0.500
Mg: 0.000 0.500 0.000

Total energy   -13.59 eV/cell
DOS(E_F)   0.282 states/eV per atom
Space group   P4/mmm (123)
Energy relative to the lowest polymorph listed for this composition   87.8 meV/atom

=====

DFT (PBE) results for crystalline MgBiPd4 at its relaxed geometry.

Unit cell a=5.377 b=5.377 c=5.377 alpha=60.00 beta=60.00 gamma=60.00
Positions (direct):
Pd: 0.124 0.625 0.625
Pd: 0.625 0.625 0.625
Pd: 0.625 0.625 0.124
Pd: 0.625 0.124 0.625
Bi: 0.250 0.250 0.250
Mg: 0.000 0.000 0.000

Total energy   -27.75 eV/cell
DOS(E_F)   0.613 states/eV per atom
Space group   F-43m (216)
Energy relative to the lowest polymorph listed for this composition   130.5 meV/atom

=====

DFT (PBE) results for crystalline Mg2BiPd at its relaxed geometry.

Unit cell a=7.872 b=7.872 c=6.317 alpha=51.46 beta=51.46 gamma=90.00
Positions (direct):
Mg: 0.575 0.125 0.250
Mg: 0.375 0.425 0.750
Mg: 0.175 0.625 0.250
Mg: 0.875 0.825 0.750
Bi: 0.000 0.000 0.000
Bi: 0.750 0.250 0.500
Pd: 0.500 0.500 0.000
Pd: 0.250 0.750 0.500

Total energy   -25.76 eV/cell
DOS(E_F)   0.550 states/eV per atom
Space group   I-42d (122)
Energy relative to the lowest polymorph listed for this composition   266.8 meV/atom

=====

DFT (PBE) results for crystalline MgBiPd4 at its relaxed geometry.

Unit cell a=3.144 b=8.122 c=8.451 alpha=90.00 beta=100.72 gamma=90.00
Positions (direct):
Pd: 0.399 0.250 0.797
Pd: 0.174 0.462 0.347
Pd: 0.826 0.538 0.653
Pd: 0.000 0.500 0.000
Pd: 0.601 0.750 0.203
Pd: 0.000 0.000 0.000
Pd: 0.826 0.962 0.653
Pd: 0.174 0.038 0.347
Mg: 0.763 0.250 0.526
Mg: 0.237 0.750 0.474
Bi: 0.429 0.750 0.858
Bi: 0.571 0.250 0.142

Total energy   -55.92 eV/cell
DOS(E_F)   0.370 states/eV per atom
Space group   Cmcm (63)
Energy relative to the lowest polymorph listed for this composition   95.6 meV/atom

=====

DFT (PBE) results for crystalline Mg2BiPd at its relaxed geometry.

Unit cell a=4.918 b=4.918 c=4.918 alpha=60.00 beta=60.00 gamma=60.00
Positions (direct):
Mg: 0.250 0.250 0.250
Mg: 0.750 0.750 0.750
Pd: 0.000 0.000 0.000
Bi: 0.500 0.500 0.500

Total energy   -13.47 eV/cell
DOS(E_F)   0.488 states/eV per atom
Space group   Fm-3m (225)
Energy relative to the lowest polymorph listed for this composition   119.4 meV/atom

=====

DFT (PBE) results for crystalline MgBiPd2 at its relaxed geometry.

Unit cell a=3.330 b=3.330 c=6.818 alpha=90.00 beta=90.00 gamma=90.00
Positions (direct):
Mg: 0.500 0.500 0.000
Bi: 0.500 0.500 0.500
Pd: 0.000 0.000 0.782
Pd: 0.000 0.000 0.218

Total energy   -17.76 eV/cell
DOS(E_F)   0.323 states/eV per atom
Space group   P4/mmm (123)

=====

DFT (PBE) results for crystalline MgBiPd2 at its relaxed geometry.

Unit cell a=4.455 b=4.455 c=5.382 alpha=65.55 beta=65.55 gamma=60.00
Positions (direct):
Mg: 0.685 0.685 0.946
Pd: 0.271 0.271 0.186
Pd: 0.062 0.062 0.814
Bi: 0.482 0.482 0.553

Total energy   -17.25 eV/cell
DOS(E_F)   0.451 states/eV per atom
Space group   R3m (160)

=====

DFT (PBE) results for crystalline Mg2BiPd2 at its relaxed geometry.

Unit cell a=4.067 b=4.067 c=6.933 alpha=72.94 beta=72.94 gamma=90.00
Positions (direct):
Pd: 0.250 0.750 0.500
Pd: 0.750 0.250 0.500
Mg: 0.381 0.381 0.237
Mg: 0.619 0.619 0.763
Bi: 0.000 0.000 0.000

Total energy   -18.64 eV/cell
DOS(E_F)   0.381 states/eV per atom
Space group   I4/mmm (139)
Energy relative to the lowest polymorph listed for this composition   270.4 meV/atom

=====

DFT (PBE) results for crystalline MgBi2Pd7 at its relaxed geometry.

Unit cell a=3.137 b=9.081 c=9.081 alpha=129.18 beta=90.00 gamma=90.00
Positions (direct):
Pd: 0.500 0.500 0.500
Pd: 0.000 0.810 0.190
Pd: 0.500 0.109 0.287
Pd: 0.500 0.287 0.109
Pd: 0.500 0.713 0.891
Pd: 0.000 0.190 0.810
Pd: 0.500 0.891 0.713
Bi: 0.500 0.327 0.673
Bi: 0.500 0.673 0.327
Mg: 0.000 0.000 0.000

Total energy   -46.46 eV/cell
DOS(E_F)   0.500 states/eV per atom
Space group   Cmmm (65)

=====

DFT (PBE) results for crystalline Mg4BiPd15 at its relaxed geometry.

Unit cell a=4.021 b=4.021 c=19.839 alpha=90.00 beta=90.00 gamma=90.00
Positions (direct):
Mg: 0.000 0.000 0.207
Mg: 0.000 0.000 0.598
Mg: 0.000 0.000 0.402
Mg: 0.000 0.000 0.793
Pd: 0.500 0.000 0.304
Pd: 0.000 0.500 0.304
Pd: 0.000 0.500 0.696
Pd: 0.000 0.500 0.893
Pd: 0.500 0.500 0.402
Pd: 0.000 0.500 0.500
Pd: 0.500 0.000 0.107
Pd: 0.500 0.000 0.696
Pd: 0.000 0.500 0.107
Pd: 0.500 0.500 0.206
Pd: 0.500 0.000 0.893
Pd: 0.500 0.500 0.000
Pd: 0.500 0.500 0.598
Pd: 0.500 0.000 0.500
Pd: 0.500 0.500 0.794
Bi: 0.000 0.000 0.000

Total energy   -96.86 eV/cell
DOS(E_F)   0.974 states/eV per atom
Space group   P4/mmm (123)

=====

DFT (PBE) results for crystalline MgBi3Pd12 at its relaxed geometry.

Unit cell a=4.100 b=4.100 c=16.328 alpha=90.00 beta=90.00 gamma=90.00
Positions (direct):
Pd: 0.000 0.500 0.373
Pd: 0.500 0.000 0.627
Pd: 0.500 0.500 0.000
Pd: 0.000 0.500 0.627
Pd: 0.000 0.500 0.882
Pd: 0.500 0.500 0.500
Pd: 0.500 0.500 0.250
Pd: 0.000 0.500 0.118
Pd: 0.500 0.000 0.882
Pd: 0.500 0.500 0.750
Pd: 0.500 0.000 0.373
Pd: 0.500 0.000 0.118
Bi: 0.000 0.000 0.762
Bi: 0.000 0.000 0.500
Bi: 0.000 0.000 0.238
Mg: 0.000 0.000 0.000

Total energy   -80.70 eV/cell
DOS(E_F)   0.350 states/eV per atom
Space group   P4/mmm (123)

=====

DFT (PBE) results for crystalline MgBiPd4 at its relaxed geometry.

Unit cell a=3.858 b=5.057 c=6.604 alpha=104.25 beta=73.02 gamma=67.58
Positions (direct):
Pd: 0.651 0.013 0.684
Pd: 0.178 0.489 0.156
Pd: 0.349 0.987 0.316
Pd: 0.822 0.511 0.844
Bi: 0.500 0.500 0.500
Mg: 0.000 0.000 0.000

Total energy   -28.54 eV/cell
DOS(E_F)   0.574 states/eV per atom
Space group   C2/m (12)
Energy relative to the lowest polymorph listed for this composition   0.0 meV/atom

=====

DFT (PBE) results for crystalline Mg3BiPd at its relaxed geometry.

Unit cell a=4.558 b=6.595 c=8.930 alpha=125.19 beta=90.00 gamma=90.00
Positions (direct):
Bi: 0.195 0.423 0.075
Bi: 0.695 0.999 0.479
Mg: 0.695 0.719 0.999
Mg: 0.195 0.383 0.716
Mg: 0.696 0.038 0.838
Mg: 0.695 0.355 0.266
Mg: 0.195 0.067 0.288
Mg: 0.195 0.702 0.555
Pd: 0.196 0.886 0.932
Pd: 0.695 0.536 0.622

Total energy   -31.37 eV/cell
DOS(E_F)   0.348 states/eV per atom
Space group   P2_1/m (11)
Energy relative to the lowest polymorph listed for this composition   0.0 meV/atom

=====

DFT (PBE) results for crystalline Mg2BiPd3 at its relaxed geometry.

Unit cell a=5.659 b=5.456 c=7.670 alpha=97.07 beta=111.65 gamma=90.00
Positions (direct):
Pd: 0.365 0.750 0.000
Pd: 0.946 0.904 0.652
Pd: 0.706 0.404 0.652
Pd: 0.294 0.596 0.348
Pd: 0.635 0.250 0.000
Pd: 0.054 0.096 0.348
Bi: 0.853 0.750 0.000
Bi: 0.147 0.250 0.000
Mg: 0.217 0.434 0.658
Mg: 0.783 0.566 0.342
Mg: 0.441 0.934 0.658
Mg: 0.559 0.066 0.342

Total energy   -50.94 eV/cell
DOS(E_F)   0.362 states/eV per atom
Space group   C2/c (15)

=====

DFT (PBE) results for crystalline Mg3BiPd at its relaxed geometry.

Unit cell a=5.378 b=5.378 c=5.378 alpha=90.00 beta=90.00 gamma=90.00
Positions (direct):
Mg: 0.000 0.000 0.500
Mg: 0.000 0.500 0.000
Mg: 0.500 0.000 0.000
Pd: 0.500 0.500 0.500
Bi: 0.000 0.000 0.000

Total energy   -10.87 eV/cell
DOS(E_F)   0.741 states/eV per atom
Space group   Pm-3m (221)
Energy relative to the lowest polymorph listed for this composition   963.2 meV/atom

=====

DFT (PBE) results for crystalline Mg5Bi2Pd12 at its relaxed geometry.

Unit cell a=8.281 b=7.744 c=6.086 alpha=94.01 beta=90.00 gamma=122.32
Positions (direct):
Mg: 0.248 0.495 0.520
Mg: 0.000 0.000 0.500
Mg: 0.752 0.505 0.480
Mg: 0.666 0.332 0.919
Mg: 0.334 0.668 0.081
Pd: 0.855 0.710 0.130
Pd: 0.545 0.091 0.267
Pd: 0.442 0.401 0.205
Pd: 0.376 0.205 0.593
Pd: 0.959 0.401 0.205
Pd: 0.145 0.290 0.870
Pd: 0.828 0.205 0.593
Pd: 0.558 0.599 0.795
Pd: 0.041 0.599 0.795
Pd: 0.624 0.795 0.407
Pd: 0.172 0.795 0.407
Pd: 0.455 0.909 0.733
Bi: 0.224 0.000 0.000
Bi: 0.776 0.000 0.000

Total energy   -87.29 eV/cell
DOS(E_F)   0.341 states/eV per atom
Space group   C2/m (12)

=====

DFT (PBE) results for crystalline Mg6Bi2Pd at its relaxed geometry.

Unit cell a=3.958 b=7.877 c=7.879 alpha=119.99 beta=90.00 gamma=90.00
Positions (direct):
Mg: 0.000 0.000 0.234
Mg: 0.500 0.644 0.000
Mg: 0.500 0.356 0.356
Mg: 0.500 0.000 0.644
Mg: 0.000 0.766 0.766
Mg: 0.000 0.235 0.000
Pd: 0.500 0.000 0.000
Bi: 0.000 0.667 0.334
Bi: 0.000 0.333 0.666

Total energy   -25.40 eV/cell
DOS(E_F)   0.284 states/eV per atom
Space group   P-62m (189)